(1)
Material: BeReAs2Ir
Method: DFT, GGA-PBE
State: optimized geometry

Computed properties:
- Energy relative to the elements: 1314 meV/atom
- Total energy: -5.5531 eV per atom

Unit cell a=4.6974 b=4.9532 c=4.6974 alpha=90.00 beta=90.00 gamma=90.00
With the nearest neighbours (Å) after each atom.
Sites, in units of the cell vectors:
1 Re 0.0000 0.0000 0.0000  4 As 2.35, 2 Ir 2.48
2 As 0.0000 0.0000 0.5000  2 Re 2.35
3 Ir 0.0000 0.5000 0.0000  2 Re 2.48
4 Be 0.5000 0.5000 0.5000  4 Ir 3.32, 8 As 3.41
5 As 0.5000 0.0000 0.0000  2 Re 2.35

***

(2)
Material: BeAsIrRu
Method: DFT, GGA-PBE
State: optimized geometry

Computed properties:
- Energy relative to the elements: -230 meV/atom
- Total energy: -6.8583 eV per atom

Unit cell a=4.1653 b=4.1653 c=4.1653 alpha=60.00 beta=60.00 gamma=60.00
With the nearest neighbours (Å) after each atom.
Sites, in units of the cell vectors:
1 Ir 0.2500 0.2500 0.2500  4 As 2.55, 4 Be 2.55
2 As 0.5000 0.5000 0.5000  4 Ru 2.55, 4 Ir 2.55
3 Be 0.0000 0.0000 0.0000  4 Ir 2.55, 4 Ru 2.55
4 Ru 0.7500 0.7500 0.7500  4 As 2.55, 4 Be 2.55

***

(3)
Material: BeAsIrW2
Method: DFT, GGA-PBE
State: optimized geometry

Computed properties:
- Energy relative to the elements: 1311 meV/atom
- Total energy: -7.3180 eV per atom

Unit cell a=4.8287 b=4.0584 c=4.8287 alpha=90.00 beta=90.00 gamma=90.00
With the nearest neighbours (Å) after each atom.
Sites, in units of the cell vectors:
1 W 0.5000 0.0000 0.0000  2 Ir 2.41
2 W 0.0000 0.0000 0.5000  2 Ir 2.41
3 Be 0.0000 0.5000 0.0000  2 Ir 2.03
4 Ir 0.0000 0.0000 0.0000  2 Be 2.03
5 As 0.5000 0.5000 0.5000  8 W 3.15, 4 Be 3.41

***

(4)
Material: KBeAs2
Method: DFT, GGA-PBE
State: optimized geometry

Computed properties:
- Energy relative to the elements: 157 meV/atom
- Total energy: -3.3735 eV per atom

Unit cell a=8.9512 b=8.9512 c=8.9512 alpha=20.83 beta=20.83 gamma=20.83
With the nearest neighbours (Å) after each atom.
Sites, in units of the cell vectors:
1 K 0.7500 0.7500 0.7500  6 K 3.24, 6 As 3.31
2 As 0.5205 0.5205 0.5205  3 Be 2.49
3 Be 0.2500 0.2500 0.2500  6 As 2.49
4 As 0.9795 0.9795 0.9795  3 Be 2.49

***

(5)
Material: KBeAs2
Method: DFT, GGA-PBE
State: optimized geometry

Computed properties:
- Energy relative to the elements: -24 meV/atom
- Total energy: -3.5544 eV per atom

Unit cell a=5.5509 b=5.5509 c=5.5509 alpha=140.21 beta=105.93 gamma=87.54
With the nearest neighbours (Å) after each atom.
Sites, in units of the cell vectors:
1 As 0.5930 0.5930 0.0000  2 Be 2.27, 1 As 2.52
2 Be 0.7500 0.2500 0.5000  4 As 2.27
3 As 0.9070 0.9070 0.0000  2 Be 2.27, 1 As 2.52
4 K 0.2500 0.7500 0.5000  8 As 3.34-3.57

***

(6)
Material: KBeAs2
Method: DFT, GGA-PBE
State: optimized geometry

Computed properties:
- Energy relative to the elements: 658 meV/atom
- Total energy: -2.8730 eV per atom

Unit cell a=4.9222 b=4.9222 c=4.9222 alpha=60.00 beta=60.00 gamma=60.00
With the nearest neighbours (Å) after each atom.
Sites, in units of the cell vectors:
1 K 0.7500 0.7500 0.7500  4 As 3.01, 4 Be 3.01
2 As 0.0000 0.0000 0.0000  4 K 3.01, 4 As 3.01
3 Be 0.5000 0.5000 0.5000  4 As 3.01, 4 K 3.01
4 As 0.2500 0.2500 0.2500  4 Be 3.01, 4 As 3.01

***

(7)
Material: K2BeAs
Method: DFT, GGA-PBE
State: optimized geometry

Computed properties:
- Energy relative to the elements: -94 meV/atom
- Excess energy over the best structure of this formula in the dataset: 147 meV/atom
- Total energy: -2.7367 eV per atom

Unit cell a=6.3466 b=6.3466 c=6.3466 alpha=144.03 beta=127.27 gamma=65.49
With the nearest neighbours (Å) after each atom.
Sites, in units of the cell vectors:
1 Be 0.3366 0.8366 0.5000  2 As 2.17
2 K 0.7105 0.2105 0.5000  2 K 3.42, 4 As 3.63, 4 Be 3.69
3 As 0.4242 0.4242 0.0000  2 Be 2.17
4 K 0.0286 0.0286 0.0000  2 K 3.42, 4 Be 3.49-3.83, 4 As 3.61

***

(8)
Material: KBe2As
Method: DFT, GGA-PBE
State: optimized geometry

Computed properties:
- Energy relative to the elements: 1053 meV/atom
- Total energy: -2.2472 eV per atom

Unit cell a=5.8483 b=5.8483 c=2.5976 alpha=90.00 beta=90.00 gamma=118.07
With the nearest neighbours (Å) after each atom.
Sites, in units of the cell vectors:
1 Be 0.0000 0.0000 0.0000  2 Be 2.60
2 K 0.5000 0.0000 0.5000  2 K 2.60
3 Be 0.5000 0.5000 0.0000  2 Be 2.60
4 As 0.0000 0.5000 0.5000  2 As 2.60